LaHoCuIr after structural relaxation, computed with PBE-GGA.

Results
- Calculated formation energy: -0.4883 eV/atom
- Magnetization: 0.000 μB per cell

Lattice parameters (Å, degrees): 7.059 7.059 7.059 90.00 90.00 90.00
Space group F-43m (No. 216)
Inequivalent atoms, fractional coordinates:
La 0.000 0.000 0.000
Ho 0.000 0.000 0.500
Cu 0.250 0.250 0.250
Ir 0.250 0.250 0.750


Zn3In6Hg14 after structural relaxation, computed with PBE-GGA.

Results
- Calculated formation energy: 0.0393 eV/atom
- Magnetization: 0.000 μB per cell

Lattice parameters (Å, degrees): 10.2768 10.2768 6.5202 90.00 90.00 120.00
Space group P3 (No. 143)
Inequivalent atoms, fractional coordinates:
Zn 0.0000 0.0000 0.0000
Zn 0.3333 0.6667 0.0241
Zn 0.6667 0.3333 0.4938
In 0.1928 0.3883 0.7644
In 0.3900 0.1935 0.2436
Hg 0.0203 0.5119 0.0455
Hg 0.1250 0.8736 0.3014
Hg 0.2717 0.1365 0.7470
Hg 0.3333 0.6667 0.4419
Hg 0.5095 0.4883 0.5462
Hg 0.6667 0.3333 0.9143


YHf2Mo after structural relaxation, computed with PBE-GGA.

Results
- Calculated formation energy: 0.5620 eV/atom
- Magnetization: 0.000 μB per cell

Lattice parameters (Å, degrees): 7.930 7.930 6.049 90.00 90.00 90.00
Space group I-42d (No. 122)
Inequivalent atoms, fractional coordinates:
Y 0.000 0.000 0.000
Hf 0.198 0.250 0.625
Mo 0.000 0.000 0.500


CsSrPS4 after structural relaxation, computed with PBE-GGA.

Results
- E_form (uncorrected): -809 kJ/mol of formula units
- Magnetization: 0.000 μB per cell

Lattice parameters (Å, degrees): 6.722 6.854 9.631 90.00 108.05 90.00
Space group P2_1/m (No. 11)
Inequivalent atoms, fractional coordinates:
Cs 0.220 0.250 0.429
Sr 0.267 0.250 0.958
P 0.305 0.750 0.179
S 0.115 0.750 0.309
S 0.135 0.750 0.960
S 0.499 0.510 0.219